The following is a DFT calculation (PBE) of crystalline YAgIr at its relaxed geometry.

Lattice parameters (Å, degrees): 4.6502 4.6502 4.6502 60.00 60.00 60.00
With the nearest neighbours (Å) after each atom.
Atoms (fractional coordinates):
Y 0.7500 0.7500 0.7500  4 Ir 2.85, 4 Ag 2.85
Ag 0.0000 0.0000 0.0000  4 Y 2.85
Ir 0.5000 0.5000 0.5000  4 Y 2.85

Summary:
energy of formation	232	meV/atom
Fermi-level density of states	0.6836	states/eV/atom
space group	F-43m, No. 216
total energy	-17.481	eV/cell

---

The following is a DFT calculation (PBE) of crystalline Sr2Sm at its relaxed geometry.

Lattice parameters (Å, degrees): 3.9593 3.9628 10.1453 78.81 78.82 60.05
With the nearest neighbours (Å) after each atom.
Atoms (fractional coordinates):
Sr 0.0546 0.7965 0.2329  3 Sm 3.90-3.91, 9 Sr 3.96-4.24
Sm 0.2816 0.0254 0.5529  6 Sr 3.90-3.91, 6 Sm 3.96
Sr 0.5084 0.2545 0.8731  3 Sm 3.90-3.91, 9 Sr 3.96-4.24

Summary:
energy of formation	159	meV/atom
Fermi-level density of states	1.7636	states/eV/atom
space group	C2/m, No. 12
total energy	-7.606	eV/cell

---

The following is a DFT calculation (PBE) of crystalline Dy3Ir2Pt at its relaxed geometry.

Lattice parameters (Å, degrees): 3.3362 4.9560 7.8369 108.43 90.00 90.00
With the nearest neighbours (Å) after each atom.
Atoms (fractional coordinates):
Dy 0.5000 0.1686 0.3373  6 Ir 2.96-2.99, 2 Pt 3.01
Dy 0.5000 0.8314 0.6627  6 Ir 2.96-2.99, 2 Pt 3.01
Ir 0.0000 0.6667 0.3333  8 Dy 2.96-2.99
Pt 0.0000 0.0000 0.0000  8 Dy 2.99-3.01, 2 Pt 3.34
Dy 0.5000 0.5000 0.0000  4 Pt 2.99, 4 Ir 2.99, 2 Dy 3.34
Ir 0.0000 0.3333 0.6667  8 Dy 2.96-2.99

Summary:
energy of formation	-953	meV/atom
Fermi-level density of states	0.4315	states/eV/atom
space group	Cmmm, No. 65
total energy	-43.289	eV/cell